Compound: Yb5Mg
Source: the Alexandria database
Functional: PBE
Structure: optimized geometry

Cell: 9.344 9.344 5.872 Å, 90.00 90.00 156.95°
Last column: magnetic moment on the atom in μB.
Fractional positions:
1 Mg 0.783 0.217 0.500  0.00
2 Yb 0.996 0.004 0.000  0.19
3 Yb 0.442 0.558 0.500  0.20
4 Yb 0.326 0.674 0.000  0.20
5 Yb 0.123 0.877 0.500  0.19
6 Yb 0.664 0.336 0.000  0.17

Summary:
Energy of formation (eV per atom): -0.110
Crystal system: orthorhombic
Volume (Å³ per cell): 200.73
Size of the total moment (μB per atom): 0.15
Energy above the lowest structure with this stoichiometry (kcal/mol of atoms): 0.25
SG: No. 38
DFT total energy (eV per atom): -1.65


Compound: AcIn2GaPd
Source: the Alexandria database
Functional: PBE
Structure: optimized geometry

Cell: 4.654 4.780 6.522 Å, 111.50 110.91 90.00°
Fractional positions:
1 In 0.702 0.202 0.404
2 Pd 0.808 0.808 0.617
3 Ac 0.450 0.450 0.899
4 In 0.045 0.045 0.090
5 Ga 0.207 0.707 0.414

Summary:
Energy of formation (eV per atom): -0.565
Crystal system: orthorhombic
Volume (Å³ per cell): 124.67
Size of the total moment (μB per atom): 0.00
SG: No. 44
DFT total energy (eV per atom): -4.13